Record 1
{
  "formula": "SmTmPaO6",
  "functional": "GGA-PBE",
  "state": "relaxed",
  "cell": [[5.8147, 0.0000, 0.0000], [-2.9074, 5.0357, 0.0000], [0.0000, 0.0000, 4.6840]],
  "species": ["Sm", "Tm", "Pa", "O", "O", "O", "O", "O", "O"],
  "frac_coords": [[0.0000, 0.0000, 0.0000], [0.3333, 0.6667, 0.0000], [0.6667, 0.3333, 0.5000], [0.3553, 0.0095, 0.2453], [0.3553, 0.3457, 0.7547], [0.6543, 0.0095, 0.7547], [0.6543, 0.6447, 0.2453], [0.9905, 0.3457, 0.2453], [0.9905, 0.6447, 0.7547]],
  "e_tot_ev_per_atom": -8.58,
  "n_ef_per_ev_fu": 8.419,
  "formation_energy_uncorrected_ev_per_atom": -3.20,
  "spacegroup": "No. 149"
}

***

Record 2
{
  "formula": "LaTaTe2",
  "functional": "GGA-PBE",
  "state": "relaxed",
  "cell": [[4.2135, -1.9690, 0.0000], [4.2135, 1.9690, 0.0000], [-1.8410, 0.0000, 6.4906]],
  "species": ["La", "Ta", "Te", "Te"],
  "frac_coords": [[0.0000, 0.0000, 0.0000], [0.5000, 0.5000, 0.5000], [0.2375, 0.2375, 0.7026], [0.7625, 0.7625, 0.2974]],
  "e_tot_ev_per_atom": -6.27,
  "n_ef_per_ev_fu": 3.128,
  "e_above_lowest_polymorph_ev_per_fu": 0.14,
  "formation_energy_uncorrected_ev_per_atom": -0.50,
  "spacegroup": "No. 12"
}

***

Record 3
{
  "formula": "Ce2AlTc",
  "functional": "GGA-PBE",
  "state": "relaxed",
  "cell": [[4.4706, 0.0000, 0.0000], [0.0000, 4.4706, 0.0000], [0.0000, 0.0000, 4.2200]],
  "species": ["Ce", "Ce", "Al", "Tc"],
  "frac_coords": [[0.0000, 0.5000, 0.0000], [0.5000, 0.0000, 0.0000], [0.0000, 0.0000, 0.5000], [0.5000, 0.5000, 0.5000]],
  "e_tot_ev_per_atom": -6.64,
  "n_ef_per_ev_fu": 5.712,
  "formation_energy_ev_per_atom": -0.1470,
  "spacegroup": "No. 123"
}

***

Record 4
{
  "formula": "SrCdSn3",
  "functional": "GGA-PBE",
  "state": "relaxed",
  "cell": [[5.5922, 0.0000, 0.0000], [0.0000, 5.5922, 0.0000], [0.0000, 0.0000, 5.5922]],
  "species": ["Sr", "Cd", "Sn", "Sn", "Sn"],
  "frac_coords": [[0.0000, 0.0000, 0.0000], [0.5000, 0.5000, 0.5000], [0.0000, 0.5000, 0.5000], [0.5000, 0.0000, 0.5000], [0.5000, 0.5000, 0.0000]],
  "e_tot_ev_per_atom": -2.82,
  "n_ef_per_ev_fu": 3.691,
  "e_above_lowest_polymorph_ev_per_fu": 1.62,
  "formation_energy_ev_per_atom": 0.1033,
  "spacegroup": "No. 221"
}